Record 1
MgTlCdAu after structural relaxation. Source: OQMD, functional PBE.

Cell lengths 7.051, 7.051, 7.051 Å; angles 90.00, 90.00, 90.00 degrees
Sites, in units of the cell vectors:
Mg1 0.000 0.000 0.000
Mg2 0.000 0.500 0.500
Mg3 0.500 0.000 0.500
Mg4 0.500 0.500 0.000
Tl1 0.250 0.250 0.750
Tl2 0.250 0.750 0.250
Tl3 0.750 0.250 0.250
Tl4 0.750 0.750 0.750
Cd1 0.000 0.000 0.500
Cd2 0.000 0.500 0.000
Cd3 0.500 0.000 0.000
Cd4 0.500 0.500 0.500
Au1 0.250 0.250 0.250
Au2 0.250 0.750 0.750
Au3 0.750 0.250 0.750
Au4 0.750 0.750 0.250

Values from the calculation:
Space-group type: F-43m, No. 216
E above lowest polymorph in kcal/mol of atoms: 0.000
Calculated total energy in eV/atom: -2.14

Record 2
CuReOsPb after structural relaxation. Source: OQMD, functional PBE.

Cell lengths 6.387, 6.387, 6.387 Å; angles 90.00, 90.00, 90.00 degrees
Sites, in units of the cell vectors:
Cu1 0.000 0.000 0.000
Cu2 0.000 0.500 0.500
Cu3 0.500 0.000 0.500
Cu4 0.500 0.500 0.000
Re1 0.000 0.000 0.500
Re2 0.000 0.500 0.000
Re3 0.500 0.000 0.000
Re4 0.500 0.500 0.500
Os1 0.250 0.250 0.250
Os2 0.250 0.750 0.750
Os3 0.750 0.250 0.750
Os4 0.750 0.750 0.250
Pb1 0.250 0.250 0.750
Pb2 0.250 0.750 0.250
Pb3 0.750 0.250 0.250
Pb4 0.750 0.750 0.750

Values from the calculation:
Space-group type: F-43m, No. 216
E above lowest polymorph in kcal/mol of atoms: 0.000
Calculated total energy in eV/atom: -6.87

Record 3
PaAsPO after structural relaxation. Source: OQMD, functional PBE.

Cell lengths 4.245, 5.975, 6.846 Å; angles 90.00, 90.00, 90.00 degrees
Sites, in units of the cell vectors:
Pa1 0.000 0.113 0.000
Pa2 0.000 0.887 0.500
As1 0.500 0.224 0.666
As2 0.500 0.776 0.166
P1 0.500 0.408 0.974
P2 0.500 0.592 0.474
O1 0.000 0.167 0.301
O2 0.000 0.833 0.801

Values from the calculation:
Space-group type: Pmc2_1, No. 26
E above lowest polymorph in kcal/mol of atoms: 3.413
Calculated total energy in eV/atom: -6.91